Compound: VGaTc2N
Source: Alexandria
Functional: PBE
Structure: optimized geometry

Values from the calculation:
Theoretical density   8.5 g/cm³
M_tot   0.00 μB/f.u.
Volume   64 Å³ per cell
Formation energy from raw total energies   -0.28 eV per atom
D(E_F)   0.770 states/eV per atom

Cell lengths 4.0670, 4.0670, 3.8931 Å; angles 90.00, 90.00, 90.00 degrees
Last column: nearest neighbours and their distance in Å.
Sites, in units of the cell vectors:
V (0.0000, 0.0000, 0.0000)  2 N 1.95
Ga (0.5000, 0.5000, 0.0000)  8 Tc 2.82, 4 V 2.88
Tc (0.0000, 0.5000, 0.5000)  2 N 2.03
Tc (0.5000, 0.0000, 0.5000)  2 N 2.03
N (0.0000, 0.0000, 0.5000)  2 V 1.95, 4 Tc 2.03



Compound: ZnGa2TcN
Source: Alexandria
Functional: PBE
Structure: optimized geometry

Values from the calculation:
Theoretical density   7.0 g/cm³
M_tot   0.00 μB/f.u.
Volume   75 Å³ per cell
Formation energy from raw total energies   0.42 eV per atom
D(E_F)   0.391 states/eV per atom

Cell lengths 4.3741, 4.3741, 3.9009 Å; angles 90.00, 90.00, 90.00 degrees
Last column: nearest neighbours and their distance in Å.
Sites, in units of the cell vectors:
Zn (0.0000, 0.0000, 0.0000)  8 Ga 2.93, 4 Tc 3.09
Ga (0.0000, 0.5000, 0.5000)  2 N 2.19
Ga (0.5000, 0.0000, 0.5000)  2 N 2.19
Tc (0.5000, 0.5000, 0.0000)  2 N 1.95
N (0.5000, 0.5000, 0.5000)  2 Tc 1.95



Compound: GaTeN2
Source: Alexandria
Functional: PBE
Structure: optimized geometry

Values from the calculation:
Theoretical density   6.8 g/cm³
M_tot   0.00 μB/f.u.
Volume   166 Å³ per cell
Formation energy from raw total energies   0.55 eV per atom
D(E_F)   0.281 states/eV per atom
Relative energy among the computed polymorphs   0 meV per atom

Cell lengths 3.2233, 3.2233, 18.4811 Å; angles 90.00, 90.00, 120.00 degrees
Last column: nearest neighbours and their distance in Å.
Sites, in units of the cell vectors:
Ga (0.0000, 0.0000, 0.0000)  6 N 2.12
Ga (0.3333, 0.6667, 0.6667)  6 N 2.12
Ga (0.6667, 0.3333, 0.3333)  6 N 2.12
Te (0.0000, 0.0000, 0.5000)  2 N 2.07
Te (0.3333, 0.6667, 0.1667)  2 N 2.07
Te (0.6667, 0.3333, 0.8333)  2 N 2.07
N (0.0000, 0.0000, 0.3880)  1 Te 2.07, 3 Ga 2.12
N (0.0000, 0.0000, 0.6120)  1 Te 2.07, 3 Ga 2.12
N (0.3333, 0.6667, 0.0547)  1 Te 2.07, 3 Ga 2.12
N (0.3333, 0.6667, 0.2786)  1 Te 2.07, 3 Ga 2.12
N (0.6667, 0.3333, 0.7214)  1 Te 2.07, 3 Ga 2.12
N (0.6667, 0.3333, 0.9453)  1 Te 2.07, 3 Ga 2.12



Compound: GaTeN
Source: Alexandria
Functional: PBE
Structure: optimized geometry

Values from the calculation:
Theoretical density   4.5 g/cm³
M_tot   0.00 μB/f.u.
Volume   155 Å³ per cell
Formation energy from raw total energies   -0.05 eV per atom
D(E_F)   0.127 states/eV per atom
Relative energy among the computed polymorphs   0 meV per atom

Cell lengths 3.1720, 5.5780, 8.7414 Å; angles 88.07, 88.54, 89.99 degrees
Last column: nearest neighbours and their distance in Å.
Sites, in units of the cell vectors:
Ga (0.0000, 0.0000, 0.0000)  3 N 1.84-1.85
Ga (0.4993, 0.5001, 0.0047)  3 N 1.84-1.85
Te (0.0206, 0.0566, 0.5723)  4 Te 2.97-3.17
Te (0.0289, 0.5638, 0.4543)  4 Te 2.97-3.17
N (0.4998, 0.8311, 0.0034)  3 Ga 1.84-1.85
N (0.9994, 0.3313, 0.0038)  3 Ga 1.84-1.85



Compound: GaTeN
Source: Alexandria
Functional: PBE
Structure: optimized geometry

Values from the calculation:
Theoretical density   5.0 g/cm³
M_tot   0.00 μB/f.u.
Volume   141 Å³ per cell
Formation energy from raw total energies   0.09 eV per atom
Relative energy among the computed polymorphs   144 meV per atom

Cell lengths 5.0099, 4.9780, 5.6740 Å; angles 90.00, 94.16, 90.00 degrees
Last column: nearest neighbours and their distance in Å.
Sites, in units of the cell vectors:
Ga (0.2021, 0.0000, 0.4930)  2 N 1.90-1.91
Ga (0.7979, 0.5000, 0.5070)  2 N 1.90-1.91
Te (0.3435, 0.4145, 0.2144)  1 N 2.05
Te (0.6565, 0.9145, 0.7856)  1 N 2.05
N (0.0785, 0.6728, 0.3527)  2 Ga 1.90-1.91, 1 Te 2.05
N (0.9215, 0.1728, 0.6473)  2 Ga 1.90-1.91, 1 Te 2.05



Compound: GaTeN
Source: Alexandria
Functional: PBE
Structure: optimized geometry

Values from the calculation:
Theoretical density   4.5 g/cm³
M_tot   0.00 μB/f.u.
Volume   310 Å³ per cell
Formation energy from raw total energies   -0.05 eV per atom
D(E_F)   0.117 states/eV per atom
Relative energy among the computed polymorphs   0 meV per atom

Cell lengths 18.1670, 3.1721, 5.5771 Å; angles 90.00, 105.23, 90.00 degrees
Last column: nearest neighbours and their distance in Å.
Sites, in units of the cell vectors:
Ga (0.0000, 0.0000, 0.0000)  3 N 1.85
Ga (0.0012, 0.5000, 0.5011)  3 N 1.84-1.85
Ga (0.5000, 0.5000, 0.0000)  3 N 1.85
Ga (0.5012, 0.0000, 0.5011)  3 N 1.84-1.85
Te (0.2263, 0.5000, 0.3019)  4 Te 2.97-3.17
Te (0.2852, 0.5000, 0.8510)  4 Te 2.97-3.17
Te (0.7263, 0.0000, 0.3019)  4 Te 2.97-3.17
Te (0.7852, 0.0000, 0.8510)  4 Te 2.97-3.17
N (0.0010, 0.0000, 0.3325)  3 Ga 1.84-1.85
N (0.0014, 0.5000, 0.8322)  3 Ga 1.85
N (0.5014, 0.0000, 0.8322)  3 Ga 1.85
N (0.5010, 0.5000, 0.3325)  3 Ga 1.84-1.85



Question: Look up the M_tot of the fourth one.
Answer: 0.00 μB/f.u.